No. 1
# BaCa2AcPt

A relaxed BaCa2AcPt crystal (GGA-PBE, Alexandria via LeMat-Bulk).

Cell lengths 5.8773, 5.8773, 5.8893 Å; angles 90.00, 90.00, 90.00 degrees
Sites, in units of the cell vectors:
Ba1 0.0000 0.0000 0.0000
Ca1 0.0000 0.5000 0.5000
Ca2 0.5000 0.0000 0.5000
Ac1 0.5000 0.5000 0.0000
Pt1 0.5000 0.5000 0.5000

Properties
Calculated volume in Å³ per cell: 203.4
Symmetry: P4/mmm, No. 123
E in eV for the cell shown: -18.5

=====

No. 2
# BaCa2AcRh

A relaxed BaCa2AcRh crystal (GGA-PBE, Alexandria via LeMat-Bulk).

Cell lengths 5.8419, 5.8419, 5.7477 Å; angles 90.00, 90.00, 90.00 degrees
Sites, in units of the cell vectors:
Ba1 0.0000 0.0000 0.0000
Ca1 0.0000 0.5000 0.5000
Ca2 0.5000 0.0000 0.5000
Ac1 0.5000 0.5000 0.0000
Rh1 0.5000 0.5000 0.5000

Properties
Calculated volume in Å³ per cell: 196.2
Symmetry: P4/mmm, No. 123
E in eV for the cell shown: -18.7

=====

No. 3
# BaCaAc2Ru

A relaxed BaCaAc2Ru crystal (GGA-PBE, Alexandria via LeMat-Bulk).

Cell lengths 5.7560, 5.7560, 6.0615 Å; angles 90.00, 90.00, 90.00 degrees
Sites, in units of the cell vectors:
Ba1 0.0000 0.0000 0.0000
Ca1 0.5000 0.5000 0.0000
Ac1 0.0000 0.5000 0.5000
Ac2 0.5000 0.0000 0.5000
Ru1 0.5000 0.5000 0.5000

Properties
Calculated volume in Å³ per cell: 200.8
Symmetry: P4/mmm, No. 123
E in eV for the cell shown: -21.8

=====

No. 4
# Ba2CaAcS4

A relaxed Ba2CaAcS4 crystal (GGA-PBE, Alexandria via LeMat-Bulk).

Cell lengths 7.5020, 4.3559, 7.6405 Å; angles 90.00, 109.23, 90.00 degrees
Sites, in units of the cell vectors:
Ba1 0.0000 0.0000 0.0000
Ba2 0.5000 0.5000 0.0000
Ca1 0.0000 0.5000 0.5000
Ac1 0.5000 0.0000 0.5000
S1 0.2360 0.0000 0.7235
S2 0.2512 0.5000 0.2728
S3 0.7488 0.5000 0.7272
S4 0.7640 0.0000 0.2765

Properties
Calculated volume in Å³ per cell: 235.8
Symmetry: P2/m, No. 10
E in eV for the cell shown: -42.9